# KHoNiF6 (GGA+U, optimized geometry)
# E_tot = -5.326 eV/atom
# crystal system = orthorhombic
# volume = 18.57 A^3/atom
data_KHoNiF6
_cell_length_a 7.593
_cell_length_b 8.082
_cell_length_c 10.894
_cell_angle_alpha 90.00
_cell_angle_beta 90.00
_cell_angle_gamma 90.00
_symmetry_space_group_name_H-M 'I m m a'
_symmetry_Int_Tables_number 74
_symmetry_space_group_name_Hall '-I 2b 2'
loop_
_atom_site_label
_atom_site_fract_x
_atom_site_fract_y
_atom_site_fract_z
K1 0.000 0.250 0.029
Ho1 0.000 0.000 0.500
Ni1 0.250 0.250 0.750
F1 0.000 0.250 0.420
F2 0.000 0.250 0.794
F3 0.218 0.074 0.616